(1)
PBE-GGA Ti3ZnN, optimized geometry; energy above the lowest structure with this stoichiometry = 0.1291 eV/atom; formation energy from raw total energies = -74.3 kJ/mol of atoms
1.0
16.3516 0.0000 -1.1332
6.1765 1.4754 -3.4068
-6.1765 1.4754 3.4068
Zn N Ti
2 2 6
Cartesian
20.4854 1.4754 -3.9012 Zn
-4.1337 1.4754 2.7681 Zn
4.2359 1.4754 2.1385 N
12.1157 1.4754 -3.2717 N
9.0264 1.4754 -1.5241 Ti
7.3252 1.4754 0.3909 Ti
0.2078 1.4754 1.4975 Ti
16.1439 1.4754 -2.6306 Ti
11.8345 1.4754 -1.1525 Ti
4.5171 1.4754 0.0194 Ti

=====

(2)
PBE-GGA Li3InPb12, optimized geometry; calculated formation energy = -0.085 eV per atom
1.0
4.7580 0.0000 0.0000
0.0000 4.7580 0.0000
0.0000 0.0000 20.3461
Li In Pb
3 1 12
Cartesian
0.0000 0.0000 5.1937 Li
0.0000 0.0000 10.1731 Li
0.0000 0.0000 15.1524 Li
0.0000 0.0000 0.0000 In
2.3790 2.3790 0.0000 Pb
2.3790 2.3790 5.1814 Pb
2.3790 2.3790 10.1731 Pb
2.3790 2.3790 15.1647 Pb
2.3790 0.0000 2.6896 Pb
2.3790 0.0000 7.6696 Pb
2.3790 0.0000 12.6765 Pb
2.3790 0.0000 17.6566 Pb
0.0000 2.3790 2.6896 Pb
0.0000 2.3790 7.6696 Pb
0.0000 2.3790 12.6765 Pb
0.0000 2.3790 17.6566 Pb

=====

(3)
PBE-GGA HfSc2Zn, optimized geometry; calculated formation energy = -0.069 eV per atom
1.0
3.2576 0.0000 0.0000
1.6288 2.8212 0.0000
1.6288 0.9404 9.5049
Hf Sc Zn
1 2 1
Cartesian
3.2576 1.8808 4.7470 Hf
1.6288 0.9404 7.2697 Sc
1.6288 0.9404 2.2305 Sc
3.2576 1.8808 0.0101 Zn

=====

(4)
PBE-GGA BeMo2AsC, optimized geometry; calculated formation energy = 2.018 eV per atom
1.0
-3.9563 -0.6764 2.4743
1.9993 -1.6050 2.7581
0.5592 4.2113 2.0454
C Be Mo As
1 1 2 1
Cartesian
0.9997 -0.8025 1.3790 C
-0.6989 0.9649 3.6389 Be
0.2796 2.1057 1.0227 Mo
-1.9781 -0.3382 1.2371 Mo
0.0000 0.0000 0.0000 As